Entry 1:
Material: Li2Sb2Os
Method: DFT, GGA-PBE
State: optimized geometry

Unit cell a=6.8269 b=6.8269 c=4.3534 alpha=90.00 beta=90.00 gamma=90.00
Sites, in units of the cell vectors:
Li 0.1684 0.3316 0.0000
Li 0.3316 0.8316 0.0000
Li 0.6684 0.1684 0.0000
Li 0.8316 0.6684 0.0000
Sb 0.1481 0.6481 0.5000
Sb 0.3519 0.1481 0.5000
Sb 0.6481 0.8519 0.5000
Sb 0.8519 0.3519 0.5000
Os 0.0000 0.0000 0.5000
Os 0.5000 0.5000 0.5000

Summary:
Calculated density: 7.33 g/cm³
Raw formation energy: -0.068 eV/atom
Crystal system: tetragonal
Energy: -47.283 eV for the cell shown



Entry 2:
Material: TiBeZnAg
Method: DFT, GGA-PBE
State: optimized geometry

Unit cell a=4.3187 b=4.3187 c=4.3187 alpha=60.00 beta=60.00 gamma=60.00
Sites, in units of the cell vectors:
Ti 0.0000 0.0000 0.0000
Be 0.7500 0.7500 0.7500
Zn 0.2500 0.2500 0.2500
Ag 0.5000 0.5000 0.5000

Summary:
DFT formation energy: 5.0 kJ per mole of atoms
Calculated density: 6.71 g/cm³
Crystal system: cubic
Energy: -15.541 eV for the cell shown



Entry 3:
Material: LaY3Mn4Si4
Method: DFT, GGA-PBE
State: optimized geometry

Unit cell a=3.9314 b=3.9314 c=14.8674 alpha=90.00 beta=90.00 gamma=90.00
Sites, in units of the cell vectors:
La 0.0000 0.0000 0.0000
Y 0.0000 0.0000 0.5012
Y 0.5000 0.5000 0.1840
Y 0.5000 0.5000 0.6647
Mn 0.0000 0.5000 0.3414
Mn 0.0000 0.5000 0.8236
Mn 0.5000 0.0000 0.3414
Mn 0.5000 0.0000 0.8236
Si 0.0000 0.0000 0.2458
Si 0.0000 0.0000 0.7272
Si 0.5000 0.5000 0.4385
Si 0.5000 0.5000 0.9162

Summary:
Calculated density: 5.33 g/cm³
Raw formation energy: -0.554 eV/atom
Crystal system: tetragonal
Energy: -89.340 eV for the cell shown



The highest energy belongs to which entry?
TiBeZnAg